(1)
TaInI2 (PBEsol, optimized geometry); crystal system = cubic; formation energy (no corrections) = 62.6 kJ/mol of atoms
1.0
0.0000 3.5936 3.5936
3.5936 0.0000 3.5936
3.5936 3.5936 0.0000
Ta In I
1 1 2
Cartesian
0.0000 0.0000 0.0000
3.5936 3.5936 3.5936
1.7968 1.7968 1.7968
5.3904 5.3904 5.3904

***

(2)
GaPtS2 (PBEsol, optimized geometry); crystal system = trigonal; formation energy (no corrections) = -14.9 kJ/mol of atoms
1.0
1.7409 1.0051 8.0437
-1.7409 1.0051 8.0437
0.0000 -2.0102 8.0437
Ga Pt S
1 1 2
Cartesian
0.0000 0.0000 0.0000
0.0000 0.0000 12.0656
0.0000 0.0000 2.7565
0.0000 0.0000 21.3748

***

(3)
LiMgH3 (PBEsol, optimized geometry); crystal system = trigonal
1.0
2.4574 1.4188 4.3811
-2.4574 1.4188 4.3811
0.0000 -2.8376 4.3811
Li Mg H
2 2 6
Cartesian
0.0000 0.0000 0.0000
0.0000 0.0000 6.5717
0.0000 0.0000 3.8047
0.0000 0.0000 10.3763
-0.7404 -1.2674 5.1652
-1.7300 -0.1439 7.3558
-0.7274 1.2749 5.1652
0.9896 -1.4263 7.3558
1.4678 -0.0075 5.1652
0.7404 1.5702 7.3558

***

(4)
PPbSe3 (PBEsol, optimized geometry); crystal system = monoclinic; formation energy (no corrections) = -29.4 kJ/mol of atoms
1.0
6.9165 0.0000 0.0000
0.0000 7.5954 0.0000
-6.6104 0.0000 9.5859
P Pb Se
4 4 12
Cartesian
0.4344 0.8269 0.6164
-2.8708 2.9708 5.4094
3.1769 4.6246 4.1765
-0.1282 6.7685 8.9695
-0.1652 4.6378 2.4065
-3.4704 6.7553 7.1994
3.7766 0.8401 2.3865
0.4714 2.9576 7.1794
-5.4642 5.2390 9.0707
-2.1590 6.1541 4.2778
-4.3782 1.5723 9.1496
-1.0731 2.2254 4.3567
-2.4782 3.8248 7.3986
0.8270 7.5683 2.6056
-0.5209 0.0271 6.9803
2.7843 3.7706 2.1873
1.3792 5.3700 5.2292
4.6844 6.0231 0.4363
2.4652 1.4413 5.3081
5.7704 2.3564 0.5152

***

(5)
Cd2NiTe (PBEsol, optimized geometry); crystal system = orthorhombic; formation energy (no corrections) = 16.8 kJ/mol of atoms
1.0
2.6922 -3.7009 0.0000
2.6922 3.7009 0.0000
0.0000 0.0000 4.2398
Cd Ni Te
2 1 1
Cartesian
2.6922 2.2190 0.0000
2.6922 -2.2190 0.0000
0.0000 0.0000 2.1199
2.6922 0.0000 2.1199

***

(6)
HfTl3Pd (PBEsol, optimized geometry); crystal system = cubic; DFT formation energy = 5.118 eV/f.u.
1.0
5.4197 0.0000 0.0000
0.0000 5.4197 0.0000
0.0000 0.0000 5.4197
Hf Tl Pd
1 3 1
Cartesian
0.0000 0.0000 0.0000
0.0000 0.0000 2.7099
0.0000 2.7099 0.0000
2.7099 0.0000 0.0000
2.7099 2.7099 2.7099

***

no.,M_tot (Bohr magnetons per cell),energy (eV per atom),V (Å³/f.u.)
1,0.000,-4.119,92.8
2,0.000,-4.922,84.4
3,0.026,-2.986,45.8
4,0.000,-4.573,125.9
5,0.000,-2.845,84.5
6,0.001,-3.847,159.2